A plane-wave DFT calculation with PBE was carried out for an optimized crystal structure of TlAgBr3.

The structure in CIF format:
```
data_TlAgBr3
_cell_length_a 5.700
_cell_length_b 5.700
_cell_length_c 5.700
_cell_angle_alpha 90.00
_cell_angle_beta 90.00
_cell_angle_gamma 90.00
_space_group_name_H-M_alt 'P m -3 m'
_space_group_IT_number 221
_space_group_name_Hall '-P 4 2 3'
loop_
_atom_site_label
_atom_site_type_symbol
_atom_site_fract_x
_atom_site_fract_y
_atom_site_fract_z
Tl1 Tl 0.000 0.000 0.000
Ag1 Ag 0.500 0.500 0.500
Br1 Br 0.000 0.000 0.500
```

Calculated values
Mass density, g/cm3: 4.95
Raw formation energy, eV/atom: -0.100

---

A plane-wave DFT calculation with PBE was carried out for an optimized crystal structure of Ho2Er3Hg6.

The structure in CIF format:
```
data_Ho2Er3Hg6
_cell_length_a 5.053
_cell_length_b 5.053
_cell_length_c 26.335
_cell_angle_alpha 90.00
_cell_angle_beta 90.00
_cell_angle_gamma 90.00
_space_group_name_H-M_alt 'I 4/m m m'
_space_group_IT_number 139
_space_group_name_Hall '-I 4 2'
loop_
_atom_site_label
_atom_site_type_symbol
_atom_site_fract_x
_atom_site_fract_y
_atom_site_fract_z
Ho1 Ho 0.000 0.000 0.130
Er1 Er 0.000 0.000 0.363
Er2 Er 0.000 0.000 0.500
Hg1 Hg 0.000 0.000 0.246
Hg2 Hg 0.000 0.500 0.066
```

Calculated values
Mass density, g/cm3: 10.05
E_form, kJ per mole of atoms: -9

---

A plane-wave DFT calculation with PBE was carried out for an optimized crystal structure of BPbO3.

The structure in CIF format:
```
data_BPbO3
_cell_length_a 5.1687
_cell_length_b 5.1687
_cell_length_c 8.1630
_cell_angle_alpha 90.00
_cell_angle_beta 90.00
_cell_angle_gamma 120.00
_space_group_name_H-M_alt 'R 3 m'
_space_group_IT_number 160
_space_group_name_Hall 'R 3 -2"'
loop_
_atom_site_label
_atom_site_type_symbol
_atom_site_fract_x
_atom_site_fract_y
_atom_site_fract_z
B1 B 0.0000 0.0000 0.0000
Pb1 Pb 0.0000 0.0000 0.4744
O1 O 0.1796 0.3593 0.6799
```

Calculated values
Mass density, g/cm3: 7.02
Raw formation energy, eV/atom: -1.530

---

A plane-wave DFT calculation with PBE was carried out for an optimized crystal structure of Sc2BiP2.

The structure in CIF format:
```
data_Sc2BiP2
_cell_length_a 4.954
_cell_length_b 4.954
_cell_length_c 8.575
_cell_angle_alpha 90.00
_cell_angle_beta 90.00
_cell_angle_gamma 90.00
_space_group_name_H-M_alt 'I 4/m m m'
_space_group_IT_number 139
_space_group_name_Hall '-I 4 2'
loop_
_atom_site_label
_atom_site_type_symbol
_atom_site_fract_x
_atom_site_fract_y
_atom_site_fract_z
Sc1 Sc 0.000 0.500 0.250
Bi1 Bi 0.000 0.000 0.000
P1 P 0.000 0.000 0.368
```

Calculated values
Mass density, g/cm3: 5.70
E_form, kJ per mole of atoms: -79
Offset from the most stable computed form, eV/atom: 0.0000

---

A plane-wave DFT calculation with PBE was carried out for an optimized crystal structure of Ba2AuCCl.

The structure in CIF format:
```
data_Ba2AuCCl
_cell_length_a 5.917
_cell_length_b 5.917
_cell_length_c 4.316
_cell_angle_alpha 90.00
_cell_angle_beta 90.00
_cell_angle_gamma 90.00
_space_group_name_H-M_alt 'P 4/m m m'
_space_group_IT_number 123
_space_group_name_Hall '-P 4 2'
loop_
_atom_site_label
_atom_site_type_symbol
_atom_site_fract_x
_atom_site_fract_y
_atom_site_fract_z
Ba1 Ba 0.000 0.500 0.000
Au1 Au 0.000 0.000 0.500
C1 C 0.500 0.500 0.500
Cl1 Cl 0.500 0.500 0.000
```

Calculated values
Mass density, g/cm3: 5.71
Raw formation energy, eV/atom: 0.204

---

A plane-wave DFT calculation with PBE was carried out for an optimized crystal structure of Ag2PW.

The structure in CIF format:
```
data_Ag2PW
_cell_length_a 3.698
_cell_length_b 3.698
_cell_length_c 4.768
_cell_angle_alpha 90.00
_cell_angle_beta 90.00
_cell_angle_gamma 90.00
_space_group_name_H-M_alt 'P 4/m m m'
_space_group_IT_number 123
_space_group_name_Hall '-P 4 2'
loop_
_atom_site_label
_atom_site_type_symbol
_atom_site_fract_x
_atom_site_fract_y
_atom_site_fract_z
Ag1 Ag 0.000 0.500 0.000
P1 P 0.000 0.000 0.500
W1 W 0.500 0.500 0.500
```

Calculated values
Mass density, g/cm3: 10.96
E_form, kJ per mole of atoms: 59

---

A plane-wave DFT calculation with PBE was carried out for an optimized crystal structure of PrDy2Y8.

The structure in CIF format:
```
data_PrDy2Y8
_cell_length_a 16.610
_cell_length_b 6.696
_cell_length_c 6.683
_cell_angle_alpha 90.00
_cell_angle_beta 99.55
_cell_angle_gamma 90.00
_space_group_name_H-M_alt 'C 1 2/m 1'
_space_group_IT_number 12
loop_
_space_group_symop_operation_xyz
'x,y,z'
'-x,-y,-z'
'-x,y,-z'
'x,-y,z'
'x+1/2,y+1/2,z'
'-x+1/2,-y+1/2,-z'
'-x+1/2,y+1/2,-z'
'x+1/2,-y+1/2,z'
loop_
_atom_site_label
_atom_site_type_symbol
_atom_site_fract_x
_atom_site_fract_y
_atom_site_fract_z
Pr1 Pr 0.000 0.000 0.000
Dy1 Dy 0.243 0.000 0.307
Y1 Y 0.089 0.500 0.904
Y2 Y 0.090 0.264 0.410
Y3 Y 0.208 0.000 0.799
```

Calculated values
Mass density, g/cm3: 5.33
E_form, kJ per mole of atoms: 16
Offset from the most stable computed form, eV/atom: 0.0264

---

A plane-wave DFT calculation with PBE was carried out for an optimized crystal structure of Ba4TeAuBr2.

The structure in CIF format:
```
data_Ba4TeAuBr2
_cell_length_a 8.446
_cell_length_b 4.770
_cell_length_c 8.638
_cell_angle_alpha 90.00
_cell_angle_beta 108.30
_cell_angle_gamma 90.00
_space_group_name_H-M_alt 'P 1 2/m 1'
_space_group_IT_number 10
loop_
_space_group_symop_operation_xyz
'x,y,z'
'-x,-y,-z'
'-x,y,-z'
'x,-y,z'
loop_
_atom_site_label
_atom_site_type_symbol
_atom_site_fract_x
_atom_site_fract_y
_atom_site_fract_z
Ba1 Ba 0.229 0.000 0.228
Ba2 Ba 0.239 0.500 0.757
Te1 Te 0.000 0.000 0.500
Au1 Au 0.000 0.500 0.000
Br1 Br 0.500 0.000 0.000
Br2 Br 0.500 0.500 0.500
```

Calculated values
Mass density, g/cm3: 5.20
Raw formation energy, eV/atom: -1.409

---

- Among the records above, which one has the lowest mass density?
  TlAgBr3